## CeTh2Cu (GGA-PBE)

Data for a relaxed structure of CeTh2Cu.

Its energy of formation from the pure elements is 0.119 eV/atom. The value obtained for the energy relative to the lowest polymorph listed for this composition is 106 meV/atom. The value obtained for the volume is 331 Å³/cell. The value obtained for the total energy is -6.099 eV/atom. The value obtained for the magnetization is 0.00 μB/f.u.

The space group is R3m (No. 160, hexagonal axes) and the conventional cell measures 3.5701, 3.5701 and 29.9596 Å, with angles of 90.00, 90.00 and 120.00 degrees. The distinct sites, in fractional coordinates, are Ce at (0.0000, 0.0000, 0.0000), Th at (0.0000, 0.0000, 0.2375), Th at (0.0000, 0.0000, 0.4270) and Cu at (0.0000, 0.0000, 0.8314).